No. 1
Compound: CaNdB2O6
Source: Alexandria
Functional: GGA-PBE
Structure: optimized geometry

Lattice parameters (Å, degrees): 6.531 6.531 7.046 101.16 101.16 105.45
Fractional positions:
Ca1 0.079 0.921 0.750
Ca2 0.921 0.079 0.250
Nd1 0.422 0.578 0.250
Nd2 0.578 0.422 0.750
B1 0.095 0.422 0.749
B2 0.422 0.095 0.249
B3 0.578 0.905 0.751
B4 0.905 0.578 0.251
O1 0.050 0.459 0.253
O2 0.057 0.227 0.612
O3 0.227 0.057 0.112
O4 0.292 0.499 0.897
O5 0.459 0.050 0.753
O6 0.499 0.292 0.397
O7 0.501 0.708 0.603
O8 0.541 0.950 0.247
O9 0.708 0.501 0.103
O10 0.773 0.943 0.888
O11 0.943 0.773 0.388
O12 0.950 0.541 0.747

E_form (uncorrected) = -2700 meV/atom
theoretical density = 3.65 Mg/m³
space group = C2/c

---

No. 2
Compound: Ca2Nd2BRh4
Source: Alexandria
Functional: GGA-PBE
Structure: optimized geometry

Lattice parameters (Å, degrees): 6.235 6.235 6.235 115.48 115.48 98.02
Fractional positions:
Ca1 0.192 0.192 0.000
Ca2 0.808 0.808 0.000
Nd1 0.250 0.750 0.500
Nd2 0.750 0.250 0.500
B1 0.500 0.500 0.000
Rh1 0.279 0.279 0.558
Rh2 0.279 0.721 0.000
Rh3 0.721 0.279 0.000
Rh4 0.721 0.721 0.442

calculated formation energy = -455.2 meV/atom
theoretical density = 7.25 Mg/m³
space group = I4/mmm

---

No. 3
Compound: CaNi2B
Source: Alexandria
Functional: GGA-PBE
Structure: optimized geometry

Lattice parameters (Å, degrees): 4.785 5.161 5.402 63.54 84.19 82.15
Fractional positions:
Ca1 0.000 0.000 0.000
Ca2 0.500 0.500 0.000
Ni1 0.044 0.273 0.437
Ni2 0.438 0.870 0.395
Ni3 0.562 0.130 0.605
Ni4 0.956 0.727 0.563
B1 0.309 0.488 0.514
B2 0.691 0.512 0.486

calculated formation energy = -220.2 meV/atom
theoretical density = 4.73 Mg/m³
space group = P-1

---

No. 4
Compound: CaNi2B
Source: Alexandria
Functional: GGA-PBE
Structure: optimized geometry

Lattice parameters (Å, degrees): 7.135 7.135 7.135 142.41 142.41 54.21
Fractional positions:
Ca1 0.375 0.625 0.750
Ca2 0.625 0.375 0.250
Ni1 0.000 0.000 0.000
Ni2 0.000 0.000 0.500
Ni3 0.000 0.500 0.000
Ni4 0.500 0.000 0.500
B1 0.125 0.875 0.250
B2 0.875 0.125 0.750

calculated formation energy = -26.1 meV/atom
theoretical density = 4.16 Mg/m³
space group = I4_1/amd

---

Number 3 is which compound? CaNi2B